(1)
Here is NpCo after structural relaxation from OQMD via LeMat-Bulk. Energies are from PBE-GGA.

Lattice parameters (Å, degrees): 2.7225 2.7225 14.0650 90.00 90.00 120.00
Closest atoms and distances in Å follow each position.
Space group R-3m (No. 166, hexagonal axes)
Inequivalent atoms, fractional coordinates:
Np: 0.0000 0.0000 0.0000  6 Np 2.72, 6 Co 2.82
Co: 0.0000 0.0000 0.5000  6 Co 2.72, 6 Np 2.82

Energy relative to the elements = 342 meV/atom
E = -9.596 eV/atom

(2)
Here is Np3Co after structural relaxation from OQMD via LeMat-Bulk. Energies are from PBE-GGA.

Lattice parameters (Å, degrees): 6.3458 6.3458 3.8659 90.00 90.00 120.00
Closest atoms and distances in Å follow each position.
Space group P6_3/mmc (No. 194)
Inequivalent atoms, fractional coordinates:
Np: 0.1661 0.3322 0.2500  4 Np 2.66, 2 Co 2.67
Co: 0.3333 0.6667 0.7500  6 Np 2.67

Energy relative to the elements = 243 meV/atom
E = -11.111 eV/atom

(3)
Here is NpCoOs after structural relaxation from OQMD via LeMat-Bulk. Energies are from PBE-GGA.

Lattice parameters (Å, degrees): 5.9046 5.9046 5.9046 90.00 90.00 90.00
Closest atoms and distances in Å follow each position.
Space group F-43m (No. 216)
Inequivalent atoms, fractional coordinates:
Np: 0.0000 0.0000 0.0000  4 Co 2.56
Co: 0.2500 0.2500 0.2500  4 Os 2.56, 4 Np 2.56
Os: 0.0000 0.0000 0.5000  4 Co 2.56

Energy relative to the elements = 432 meV/atom
E = -9.936 eV/atom

(4)
Here is NpPaCo after structural relaxation from OQMD via LeMat-Bulk. Energies are from PBE-GGA.

Lattice parameters (Å, degrees): 6.1445 6.1445 6.1445 90.00 90.00 90.00
Closest atoms and distances in Å follow each position.
Space group F-43m (No. 216)
Inequivalent atoms, fractional coordinates:
Np: 0.0000 0.0000 0.0000  4 Pa 2.66
Pa: 0.2500 0.2500 0.7500  4 Co 2.66, 4 Np 2.66
Co: 0.0000 0.0000 0.5000  4 Pa 2.66

Energy relative to the elements = 237 meV/atom
E = -9.554 eV/atom

(5)
Here is PrNpCo after structural relaxation from OQMD via LeMat-Bulk. Energies are from PBE-GGA.

Lattice parameters (Å, degrees): 6.3314 6.3314 6.3314 90.00 90.00 90.00
Closest atoms and distances in Å follow each position.
Space group F-43m (No. 216)
Inequivalent atoms, fractional coordinates:
Pr: 0.0000 0.0000 0.0000  4 Np 2.74
Np: 0.2500 0.2500 0.7500  4 Pr 2.74, 4 Co 2.74
Co: 0.0000 0.0000 0.5000  4 Np 2.74

Energy relative to the elements = 1055 meV/atom
E = -7.162 eV/atom

(6)
Here is PuNpCo after structural relaxation from OQMD via LeMat-Bulk. Energies are from PBE-GGA.

Lattice parameters (Å, degrees): 5.8203 5.8203 5.8203 90.00 90.00 90.00
Closest atoms and distances in Å follow each position.
Space group F-43m (No. 216)
Inequivalent atoms, fractional coordinates:
Pu: 0.0000 0.0000 0.0000  4 Np 2.52
Np: 0.2500 0.2500 0.7500  4 Co 2.52, 4 Pu 2.52
Co: 0.0000 0.0000 0.5000  4 Np 2.52

Energy relative to the elements = 6 meV/atom
E = -11.328 eV/atom